{"formula": "Sr3Tl3HgPb2", "functional": "PBE", "state": "relaxed", "density_kg_m3": 8360, "space_group": "P-62m (189)", "ef_ev_per_atom": -0.397, "e_tot_ev_per_fu": -23.43, "cell": [[-3.411, 1.406, 3.295], [-4.825, -6.379, -2.273], [5.533, -0.951, 6.133]], "species": ["Tl", "Tl", "Tl", "Pb", "Pb", "Sr", "Sr", "Sr", "Hg"], "frac_coords": [[0.500, 0.000, 0.752], [0.500, 0.248, 0.248], [0.500, 0.752, 0.000], [0.500, 0.333, 0.667], [0.500, 0.667, 0.333], [0.000, 0.000, 0.404], [0.000, 0.404, 0.000], [0.000, 0.596, 0.596], [0.000, 0.000, 0.000]]}